i) Compound: Tb4NdTh
Source: the Alexandria database
Functional: PBE
Structure: optimized geometry

a b c (Å): 9.314 9.314 9.314
angles (deg): 90.00 90.00 90.00
Space group F-43m (No. 216)
Unique sites:
Tb: 0.124 0.124 0.124 [16 per cell]
Nd: 0.000 0.000 0.500 [4 per cell]
Th: 0.250 0.250 0.750 [4 per cell]

The volume is 33.67 Å³/atom. The calculation puts the spin magnetization at 2.5 μB/f.u.

---

ii) Compound: Tb4NdTh
Source: the Alexandria database
Functional: PBE
Structure: optimized geometry

a b c (Å): 8.871 14.624 6.658
angles (deg): 90.00 109.96 90.00
Space group C2/c (No. 15)
Unique sites:
Tb: 0.091 0.192 0.034 [8 per cell]
Tb: 0.203 0.372 0.374 [8 per cell]
Nd: 0.000 0.412 0.750 [4 per cell]
Th: 0.000 0.001 0.250 [4 per cell]

The volume is 33.83 Å³/atom. The calculation puts the spin magnetization at 0.0 μB/f.u.

---

Top of the stability list: ii), leading by 172 meV per atom.

---

i) Compound: Tb12Nd5Th2
Source: the Alexandria database
Functional: PBE
Structure: optimized geometry

a b c (Å): 15.729 9.391 8.725
angles (deg): 90.00 92.81 90.00
Space group C2/m (No. 12)
Unique sites:
Tb: 0.057 0.000 0.334 [4 per cell]
Tb: 0.071 0.500 0.877 [4 per cell]
Tb: 0.131 0.193 0.675 [8 per cell]
Tb: 0.146 0.322 0.242 [8 per cell]
Nd: 0.000 0.500 0.500 [2 per cell]
Nd: 0.207 0.000 0.029 [4 per cell]
Nd: 0.232 0.500 0.568 [4 per cell]
Th: 0.000 0.170 0.000 [4 per cell]

The volume is 33.88 Å³/atom. The calculation puts the spin magnetization at 0.0 μB/f.u.

---

ii) Compound: Tb12Nd5Th2
Source: the Alexandria database
Functional: PBE
Structure: optimized geometry

a b c (Å): 6.838 7.151 14.179
angles (deg): 104.57 95.53 104.84
Space group P-1 (No. 2)
Unique sites:
Tb: 0.028 0.363 0.203 [2 per cell]
Tb: 0.034 0.851 0.188 [2 per cell]
Tb: 0.151 0.080 0.596 [2 per cell]
Tb: 0.339 0.796 0.392 [2 per cell]
Tb: 0.429 0.008 0.788 [2 per cell]
Tb: 0.430 0.493 0.785 [2 per cell]
Nd: 0.000 0.500 0.500 [1 per cell]
Nd: 0.273 0.083 0.020 [2 per cell]
Nd: 0.385 0.282 0.402 [2 per cell]
Th: 0.268 0.574 0.016 [2 per cell]

The volume is 33.63 Å³/atom. The calculation puts the spin magnetization at 0.0 μB/f.u.

---

Top of the stability list: ii), leading by 40 meV per atom.